1.
The following is a DFT calculation (PBE) of crystalline CoTeCI2 at its relaxed geometry.

For the size of the total moment, the calculation gives 2.57 μB per formula unit. The value obtained for the energy above the most stable polymorph in this dataset is 0.00 kcal/mol of atoms. Its electronic total energy is -2.96 eV/atom.

The space group is P4/mmm (No. 123) and the conventional cell measures 5.039, 5.039 and 4.690 Å, with angles of 90.00, 90.00 and 90.00 degrees. The asymmetric unit holds Co at (0.000, 0.000, 0.000), Te at (0.500, 0.500, 0.000), C at (0.500, 0.500, 0.500) and I at (0.000, 0.500, 0.500).

=====

2.
The following is a DFT calculation (PBE) of crystalline VCoC2I at its relaxed geometry.

For the size of the total moment, the calculation gives 1.72 μB per formula unit. Its electronic total energy is -5.61 eV/atom.

The space group is P4/mmm (No. 123) and the conventional cell measures 3.822, 3.822 and 5.698 Å, with angles of 90.00, 90.00 and 90.00 degrees. The asymmetric unit holds V at (0.000, 0.000, 0.000), Co at (0.000, 0.000, 0.500), C at (0.000, 0.500, 0.000) and I at (0.500, 0.500, 0.500).

=====

3.
The following is a DFT calculation (PBE) of crystalline InCoC3 at its relaxed geometry.

For the size of the total moment, the calculation gives 0.00 μB per formula unit. The value obtained for the energy above the most stable polymorph in this dataset is 35.99 kcal/mol of atoms. Its electronic total energy is -3.94 eV/atom. The formation energy is 3561 meV/atom.

The space group is Pm-3m (No. 221) and the conventional cell measures 4.238, 4.238 and 4.238 Å, with angles of 90.00, 90.00 and 90.00 degrees. The asymmetric unit holds In at (0.000, 0.000, 0.000), Co at (0.500, 0.500, 0.500) and C at (0.000, 0.000, 0.500).

=====

4.
The following is a DFT calculation (PBE) of crystalline InCoC3 at its relaxed geometry.

For the size of the total moment, the calculation gives 0.00 μB per formula unit. The value obtained for the energy above the most stable polymorph in this dataset is 0.00 kcal/mol of atoms. Its electronic total energy is -5.50 eV/atom. The formation energy is 2001 meV/atom.

The space group is Pm-3m (No. 221) and the conventional cell measures 3.852, 3.852 and 3.852 Å, with angles of 90.00, 90.00 and 90.00 degrees. The asymmetric unit holds In at (0.000, 0.000, 0.000), Co at (0.500, 0.500, 0.500) and C at (0.000, 0.500, 0.500).

=====

5.
The following is a DFT calculation (PBE) of crystalline InCo2C at its relaxed geometry.

For the size of the total moment, the calculation gives 0.00 μB per formula unit. The value obtained for the energy above the most stable polymorph in this dataset is 0.00 kcal/mol of atoms. Its electronic total energy is -6.25 eV/atom. The formation energy is 291 meV/atom.

The space group is I-42d (No. 122) and the conventional cell measures 6.070, 6.070 and 5.450 Å, with angles of 90.00, 90.00 and 90.00 degrees. The asymmetric unit holds In at (0.000, 0.000, 0.000), Co at (0.130, 0.250, 0.625) and C at (0.000, 0.000, 0.500).

=====

6.
The following is a DFT calculation (PBE) of crystalline In4Co12C3 at its relaxed geometry.

For the size of the total moment, the calculation gives 3.88 μB per formula unit. Its electronic total energy is -6.47 eV/atom. The formation energy is 48 meV/atom.

The space group is P4/mmm (No. 123) and the conventional cell measures 3.827, 3.827 and 15.118 Å, with angles of 90.00, 90.00 and 90.00 degrees. The asymmetric unit holds In at (0.000, 0.000, 0.122), In at (0.000, 0.000, 0.374), Co at (0.000, 0.500, 0.000), Co at (0.000, 0.500, 0.249), Co at (0.000, 0.500, 0.500), Co at (0.500, 0.500, 0.118), Co at (0.500, 0.500, 0.373), C at (0.500, 0.500, 0.243) and C at (0.500, 0.500, 0.500).

=====

7.
The following is a DFT calculation (PBE) of crystalline InCoC2 at its relaxed geometry.

For the size of the total moment, the calculation gives 0.00 μB per formula unit. Its electronic total energy is -6.01 eV/atom. The formation energy is 1059 meV/atom.

The space group is I-42d (No. 122) and the conventional cell measures 4.782, 4.782 and 9.161 Å, with angles of 90.00, 90.00 and 90.00 degrees. The asymmetric unit holds In at (0.000, 0.000, 0.000), Co at (0.000, 0.000, 0.500) and C at (0.168, 0.250, 0.625).

=====

8.
The following is a DFT calculation (PBE) of crystalline InCo2C at its relaxed geometry.

For the size of the total moment, the calculation gives 1.55 μB per formula unit. The value obtained for the energy above the most stable polymorph in this dataset is 23.63 kcal/mol of atoms. Its electronic total energy is -5.23 eV/atom. The formation energy is 1315 meV/atom.

The space group is Fm-3m (No. 225) and the conventional cell measures 5.793, 5.793 and 5.793 Å, with angles of 90.00, 90.00 and 90.00 degrees. The asymmetric unit holds In at (0.000, 0.000, 0.000), Co at (0.250, 0.250, 0.250) and C at (0.000, 0.000, 0.500).